1.
A plane-wave DFT calculation with PBE-GGA was carried out for MgZnIn after structural relaxation.

DFT formation energy: -0.007 eV/atom

Unit cell a=5.285 b=5.285 c=5.285 alpha=144.82 beta=131.95 gamma=60.93
Fractional coordinates of all 3 atoms:
Zn 0.332 0.332 0.000
Mg 0.671 0.671 0.000
In 0.997 0.997 0.000

2.
A plane-wave DFT calculation with PBE-GGA was carried out for MgBPt2Rh after structural relaxation.

DFT formation energy: -0.548 eV/atom

Unit cell a=4.185 b=4.185 c=4.135 alpha=90.00 beta=90.00 gamma=90.00
Fractional coordinates of all 5 atoms:
Mg 0.500 0.500 0.500
B 0.000 0.000 0.000
Rh 0.000 0.000 0.500
Pt 0.000 0.500 0.000
Pt 0.500 0.000 0.000

3.
A plane-wave DFT calculation with PBE-GGA was carried out for Mg2Be2SnRh5 after structural relaxation.

DFT formation energy: -0.564 eV/atom

Unit cell a=3.096 b=9.618 c=9.618 alpha=90.00 beta=90.00 gamma=90.00
Fractional coordinates of all 20 atoms:
Mg 0.000 0.675 0.175
Mg 0.000 0.325 0.825
Mg 0.000 0.175 0.325
Mg 0.000 0.825 0.675
Be 0.000 0.121 0.621
Be 0.000 0.879 0.379
Be 0.000 0.621 0.879
Be 0.000 0.379 0.121
Sn 0.000 0.000 0.000
Sn 0.000 0.500 0.500
Rh 0.500 0.215 0.072
Rh 0.500 0.785 0.928
Rh 0.500 0.072 0.785
Rh 0.500 0.715 0.428
Rh 0.500 0.928 0.215
Rh 0.500 0.285 0.572
Rh 0.500 0.572 0.715
Rh 0.500 0.428 0.285
Rh 0.500 0.500 0.000
Rh 0.500 0.000 0.500

4.
A plane-wave DFT calculation with PBE-GGA was carried out for V3CoW after structural relaxation.

DFT formation energy: 0.272 eV/atom
excess energy over the best structure of this formula in the dataset: 0.000 eV per atom

Unit cell a=4.700 b=4.898 c=6.485 alpha=112.19 beta=90.00 gamma=90.00
Fractional coordinates of all 10 atoms:
V 0.250 0.828 0.656
V 0.750 0.172 0.344
V 0.250 0.407 0.313
V 0.750 0.593 0.687
V 0.250 0.906 0.313
V 0.750 0.094 0.687
Co 0.000 0.000 0.000
Co 0.500 0.000 0.000
W 0.250 0.434 0.868
W 0.750 0.566 0.132

5.
A plane-wave DFT calculation with PBE-GGA was carried out for BeGa2Co2 after structural relaxation.

DFT formation energy: -0.005 eV/atom

Unit cell a=6.680 b=6.680 c=2.753 alpha=90.00 beta=90.00 gamma=90.00
Fractional coordinates of all 10 atoms:
Be 0.000 0.000 0.000
Be 0.500 0.500 0.000
Co 0.158 0.658 0.500
Co 0.658 0.842 0.500
Co 0.842 0.342 0.500
Co 0.342 0.158 0.500
Ga 0.358 0.858 0.000
Ga 0.858 0.642 0.000
Ga 0.642 0.142 0.000
Ga 0.142 0.358 0.000

6.
A plane-wave DFT calculation with PBE-GGA was carried out for Tm2MgTl after structural relaxation.

DFT formation energy: -0.206 eV/atom
excess energy over the best structure of this formula in the dataset: 0.000 eV per atom

Unit cell a=4.326 b=4.897 c=4.897 alpha=90.00 beta=90.00 gamma=90.00
Fractional coordinates of all 4 atoms:
Tl 0.500 0.000 0.000
Tm 0.000 0.000 0.500
Tm 0.000 0.500 0.000
Mg 0.500 0.500 0.500

7.
A plane-wave DFT calculation with PBE-GGA was carried out for Pr6SiSn2 after structural relaxation.

formation energy from raw total energies: -0.559 eV per atom

Unit cell a=4.385 b=8.565 c=8.577 alpha=119.96 beta=90.00 gamma=90.00
Fractional coordinates of all 9 atoms:
Pr 0.500 0.596 0.000
Pr 0.500 0.403 0.403
Pr 0.500 0.999 0.597
Pr 0.000 0.254 0.000
Pr 0.000 0.749 0.750
Pr 0.000 0.999 0.250
Si 0.500 0.002 0.000
Sn 0.000 0.332 0.665
Sn 0.000 0.667 0.335

8.
A plane-wave DFT calculation with PBE-GGA was carried out for TiTc2Mo after structural relaxation.

DFT formation energy: -0.348 eV/atom
excess energy over the best structure of this formula in the dataset: 0.000 eV per atom

Unit cell a=4.402 b=4.402 c=4.402 alpha=60.00 beta=60.00 gamma=60.00
Fractional coordinates of all 4 atoms:
Mo 0.500 0.500 0.500
Tc 0.250 0.250 0.250
Tc 0.750 0.750 0.750
Ti 0.000 0.000 0.000